## MgSiGe2 (PBE)

Data for MgSiGe2 after structural relaxation.

Cell lengths 6.237, 6.237, 10.284 Å; angles 90.00, 90.00, 90.00 degrees
Fractional positions:
Mg  0.000  0.000  0.000
Mg  0.000  0.500  0.250
Mg  0.500  0.000  0.750
Mg  0.500  0.500  0.500
Si  0.000  0.000  0.500
Si  0.000  0.500  0.750
Si  0.500  0.000  0.250
Si  0.500  0.500  0.000
Ge  0.211  0.250  0.625
Ge  0.250  0.711  0.875
Ge  0.250  0.789  0.375
Ge  0.289  0.250  0.125
Ge  0.711  0.750  0.125
Ge  0.750  0.211  0.375
Ge  0.750  0.289  0.875
Ge  0.789  0.750  0.625

## Properties
Size of the total moment   0.0 μB/cell
ΔE_f (raw)   24.2 kJ/mol of atoms
Space group   I-42d (122)
Uncorrected energy   -61.0 eV per cell
Fermi-level density of states   0.16 states/eV per atom


## NiC (PBE)

Data for NiC after structural relaxation.

Cell lengths 2.770, 9.512, 2.716 Å; angles 90.00, 90.00, 90.00 degrees
Fractional positions:
Ni  0.000  0.126  0.250
Ni  0.000  0.874  0.750
Ni  0.500  0.374  0.750
Ni  0.500  0.626  0.250
C  0.000  0.340  0.250
C  0.000  0.660  0.750
C  0.500  0.160  0.750
C  0.500  0.840  0.250

## Properties
Energy relative to the elements   2.23 eV/f.u.
Size of the total moment   0.0 μB/cell
Space group   Cmcm (63)
Uncorrected energy   -51.1 eV per cell
Fermi-level density of states   0.54 states/eV per atom


## TbErBe (PBE)

Data for TbErBe after structural relaxation.

Cell lengths 6.806, 6.806, 7.166 Å; angles 90.00, 90.00, 90.00 degrees
Fractional positions:
Tb  0.219  0.219  0.000
Tb  0.281  0.719  0.250
Tb  0.719  0.281  0.750
Tb  0.781  0.781  0.500
Er  0.215  0.215  0.500
Er  0.285  0.715  0.750
Er  0.715  0.285  0.250
Er  0.785  0.785  0.000
Be  0.004  0.996  0.750
Be  0.496  0.496  0.500
Be  0.504  0.504  0.000
Be  0.996  0.004  0.250

## Properties
Energy relative to the elements   1.14 eV/f.u.
Size of the total moment   0.0 μB/cell
Space group   P4_12_12 (92)
Uncorrected energy   -47.1 eV per cell
Fermi-level density of states   1.93 states/eV per atom


## K2MgAlBi (PBE)

Data for K2MgAlBi after structural relaxation.

Cell lengths 6.553, 6.553, 5.483 Å; angles 90.00, 90.00, 90.00 degrees
Fractional positions:
K  0.000  0.500  0.000
K  0.500  0.000  0.000
Mg  0.000  0.000  0.000
Al  0.500  0.500  0.500
Bi  0.000  0.000  0.500

## Properties
Energy relative to the elements   2.06 eV/f.u.
Size of the total moment   0.0 μB/cell
Space group   P4/mmm (123)
Uncorrected energy   -9.3 eV per cell
Fermi-level density of states   0.11 states/eV per atom


## Mn2HgW (PBE)

Data for Mn2HgW after structural relaxation.

Cell lengths 9.580, 2.859, 4.543 Å; angles 90.00, 108.60, 90.00 degrees
Fractional positions:
Mn  0.000  0.000  0.000
Mn  0.204  0.500  0.261
Mn  0.500  0.500  0.000
Mn  0.704  0.000  0.261
Hg  0.463  0.000  0.473
Hg  0.963  0.500  0.473
W  0.242  0.000  0.804
W  0.742  0.500  0.804

## Properties
Energy relative to the elements   2.21 eV/f.u.
Size of the total moment   5.0 μB/cell
Space group   Cm (8)
Uncorrected energy   -58.8 eV per cell
Fermi-level density of states   1.05 states/eV per atom


## TlTcS3 (PBE)

Data for TlTcS3 after structural relaxation.

Cell lengths 4.727, 4.727, 4.727 Å; angles 90.00, 90.00, 90.00 degrees
Fractional positions:
Tl  0.000  0.000  0.000
Tc  0.500  0.500  0.500
S  0.000  0.500  0.500
S  0.500  0.000  0.500
S  0.500  0.500  0.000

## Properties
Size of the total moment   0.0 μB/cell
ΔE_f (raw)   -1.0 kJ/mol of atoms
Space group   Pm-3m (221)
Uncorrected energy   -25.2 eV per cell
Fermi-level density of states   0.90 states/eV per atom


## Pm2AgHg8 (PBE)

Data for Pm2AgHg8 after structural relaxation.

Cell lengths 9.103, 9.103, 6.921 Å; angles 110.70, 110.70, 31.07 degrees
Fractional positions:
Pm  0.210  0.210  0.203
Pm  0.790  0.790  0.797
Ag  0.500  0.500  0.500
Hg  0.006  0.006  0.224
Hg  0.162  0.162  0.671
Hg  0.366  0.366  0.640
Hg  0.380  0.380  0.090
Hg  0.620  0.620  0.910
Hg  0.634  0.634  0.360
Hg  0.838  0.838  0.329
Hg  0.994  0.994  0.776

## Properties
Energy relative to the elements   -2.44 eV/f.u.
Size of the total moment   0.0 μB/cell
Space group   C2/m (12)
Uncorrected energy   -17.2 eV per cell
Fermi-level density of states   0.63 states/eV per atom


## Ce5MgHg6 (PBE)

Data for Ce5MgHg6 after structural relaxation.

Cell lengths 9.138, 9.138, 5.222 Å; angles 106.39, 106.39, 50.38 degrees
Fractional positions:
Ce  0.000  0.000  0.000
Ce  0.163  0.163  0.662
Ce  0.322  0.322  0.322
Ce  0.678  0.678  0.678
Ce  0.837  0.837  0.338
Mg  0.500  0.500  0.000
Hg  0.111  0.576  0.844
Hg  0.277  0.723  0.500
Hg  0.424  0.889  0.156
Hg  0.576  0.111  0.844
Hg  0.723  0.277  0.500
Hg  0.889  0.424  0.156

## Properties
Energy relative to the elements   -3.62 eV/f.u.
Size of the total moment   6.2 μB/cell
Space group   C2/m (12)
Uncorrected energy   -36.7 eV per cell
Fermi-level density of states   3.13 states/eV per atom